# 1
Density functional theory data (PBE-GGA) for an optimized crystal structure of CoP3.

Unit cell a=3.5360 b=4.4110 c=4.4102 alpha=57.05 beta=90.00 gamma=90.00
Last column: nearest neighbours and their distance in Å.
Element x y z (fractional)
P (0.5000, 0.8154, 0.8155)  2 Co 2.27, 2 P 2.34
Co (0.0000, 0.0000, 0.0000)  6 P 2.11-2.27
P (0.5000, 0.1846, 0.1845)  2 Co 2.27, 2 P 2.34
P (0.0000, 0.5000, 0.5000)  2 Co 2.11

* excess energy over the best structure of this formula in the dataset: 0.4719 eV/atom
* ΔE_f: -23 meV per atom
* VASP energy: -5.86 eV/atom


# 2
Density functional theory data (PBE-GGA) for an optimized crystal structure of CoP3.

Unit cell a=4.1826 b=4.1826 c=2.9991 alpha=90.00 beta=90.00 gamma=104.22
Last column: nearest neighbours and their distance in Å.
Element x y z (fractional)
Co (0.0000, 0.0000, 0.0000)  10 P 2.57
P (0.0000, 0.5000, 0.5000)  6 P 2.57, 4 Co 2.57
P (0.5000, 0.0000, 0.5000)  6 P 2.57, 4 Co 2.57
P (0.5000, 0.5000, 0.0000)  2 Co 2.57, 8 P 2.57

* excess energy over the best structure of this formula in the dataset: 0.9299 eV/atom
* ΔE_f: 435 meV per atom
* VASP energy: -5.40 eV/atom


# 3
Density functional theory data (PBE-GGA) for an optimized crystal structure of CoP.

Unit cell a=4.0762 b=4.0762 c=4.1361 alpha=90.00 beta=90.00 gamma=132.04
Last column: nearest neighbours and their distance in Å.
Element x y z (fractional)
P (0.4072, 0.5928, 0.7500)  5 Co 2.17-2.32
Co (0.7181, 0.2819, 0.7500)  5 P 2.17-2.32
P (0.5928, 0.4072, 0.2500)  5 Co 2.17-2.32
Co (0.2819, 0.7181, 0.2500)  5 P 2.17-2.32

* ΔE_f: -418 meV per atom
* VASP energy: -6.68 eV/atom


# 4
Density functional theory data (PBE-GGA) for an optimized crystal structure of CoP3.

Unit cell a=3.3514 b=3.3470 c=5.4738 alpha=90.00 beta=90.00 gamma=90.00
Last column: nearest neighbours and their distance in Å.
Element x y z (fractional)
Co (0.0000, 0.0000, 0.9165)  8 P 2.32-2.37
P (0.0000, 0.5000, 0.2091)  2 Co 2.32, 2 P 2.32
P (0.5000, 0.0000, 0.6243)  2 P 2.32, 2 Co 2.32
P (0.5000, 0.5000, 0.9168)  4 P 2.32, 4 Co 2.37

* excess energy over the best structure of this formula in the dataset: 0.5885 eV/atom
* ΔE_f: 94 meV per atom
* VASP energy: -5.74 eV/atom


# 5
Density functional theory data (PBE-GGA) for an optimized crystal structure of CoP5.

Unit cell a=4.3036 b=4.3036 c=7.1803 alpha=90.00 beta=90.00 gamma=120.00
Last column: nearest neighbours and their distance in Å.
Element x y z (fractional)
P (0.3333, 0.6667, 0.0000)  3 Co 2.48, 3 P 2.48
P (0.6667, 0.3333, 0.0000)  3 Co 2.48, 3 P 2.48
P (0.5000, 0.5000, 0.5000)  4 P 2.15
P (0.5000, 0.0000, 0.5000)  4 P 2.15
Co (0.0000, 0.0000, 0.0000)  6 P 2.48
P (0.0000, 0.5000, 0.5000)  4 P 2.15

* excess energy over the best structure of this formula in the dataset: 0.7293 eV/atom
* ΔE_f: 716 meV per atom
* VASP energy: -4.98 eV/atom


# 6
Density functional theory data (PBE-GGA) for an optimized crystal structure of CoP.

Unit cell a=4.6958 b=4.6958 c=4.6958 alpha=138.57 beta=138.57 gamma=60.04
Last column: nearest neighbours and their distance in Å.
Element x y z (fractional)
P (0.5000, 0.5000, 0.0000)  8 Co 2.35-2.63, 4 P 2.63
P (0.7500, 0.2500, 0.5000)  8 Co 2.35-2.63, 4 P 2.63
Co (0.2500, 0.7500, 0.5000)  8 P 2.35-2.63, 4 Co 2.63
Co (0.0000, 0.0000, 0.0000)  8 P 2.35-2.63, 4 Co 2.63

* ΔE_f: -13 meV per atom
* VASP energy: -6.27 eV/atom


# 7
Density functional theory data (PBE-GGA) for an optimized crystal structure of CoP.

Unit cell a=9.1059 b=9.1059 c=3.2765 alpha=90.00 beta=90.00 gamma=90.00
Last column: nearest neighbours and their distance in Å.
Element x y z (fractional)
P (0.9141, 0.3025, 0.5000)  4 Co 2.12-2.23
Co (0.6457, 0.7743, 0.0000)  4 P 2.12-2.23
P (0.4141, 0.8025, 0.0000)  4 Co 2.12-2.23
P (0.5859, 0.1975, 0.0000)  4 Co 2.12-2.23
P (0.3025, 0.0859, 0.5000)  4 Co 2.12-2.23
P (0.0859, 0.6975, 0.5000)  4 Co 2.12-2.23
Co (0.1457, 0.2743, 0.5000)  4 P 2.12-2.23
Co (0.7743, 0.3543, 0.0000)  4 P 2.12-2.23
Co (0.8543, 0.7257, 0.5000)  4 P 2.12-2.23
P (0.1975, 0.4141, 0.0000)  4 Co 2.12-2.23
Co (0.3543, 0.2257, 0.0000)  4 P 2.12-2.23
Co (0.2743, 0.8543, 0.5000)  4 P 2.12-2.23
Co (0.2257, 0.6457, 0.0000)  4 P 2.12-2.23
Co (0.7257, 0.1457, 0.5000)  4 P 2.12-2.23
P (0.8025, 0.5859, 0.0000)  4 Co 2.12-2.23
P (0.6975, 0.9141, 0.5000)  4 Co 2.12-2.23

* ΔE_f: -254 meV per atom
* VASP energy: -6.51 eV/atom


# 8
Density functional theory data (PBE-GGA) for an optimized crystal structure of CoP.

Unit cell a=3.1250 b=3.1250 c=4.5712 alpha=90.00 beta=90.00 gamma=90.00
Last column: nearest neighbours and their distance in Å.
Element x y z (fractional)
P (0.0000, 0.0000, 0.4476)  6 Co 2.28-2.31
P (0.5000, 0.5000, 0.8024)  6 Co 2.28-2.31
Co (0.0000, 0.0000, 0.9478)  6 P 2.28-2.31
Co (0.5000, 0.5000, 0.3022)  6 P 2.28-2.31

* ΔE_f: -419 meV per atom
* VASP energy: -6.68 eV/atom